Computed, not measured: an optimized crystal structure of ThFe2Ge3 at the GGA-PBE level of DFT.

a = 5.732 Å, b = 6.186 Å, c = 6.186 Å
α = 101.41°, β = 90.00°, γ = 90.00°
Element x y z (fractional)
Th1 0.750 0.305 0.695
Th2 0.250 0.695 0.305
Ge1 0.750 0.779 0.542
Ge2 0.250 0.542 0.779
Ge3 0.250 0.132 0.868
Ge4 0.750 0.868 0.132
Ge5 0.250 0.221 0.458
Ge6 0.750 0.458 0.221
Fe1 0.500 0.830 0.830
Fe2 0.000 0.170 0.170
Fe3 0.500 0.170 0.170
Fe4 0.000 0.830 0.830

Summary:
**SG**: No. 63
**Volume**: 215.0 Å³/cell
**ΔH_f (0 K)**: -0.21 eV/atom
**Spin magnetization**: 0.0 μB/f.u.